Entry 1:
VASP calculation (PBE-GGA) on a geometry-optimized RbLaCo structure.

Output
- M_tot: 0.00 Bohr magnetons per cell
- Energy above the lowest structure with this stoichiometry: 0 meV/atom
- Calculated volume: 39.48 Å³ per atom
- Energy of formation from the pure elements: 1.4 kJ per mole of atoms

Cell: 4.133 4.133 16.181 Å, 90.10 97.24 119.95°
Fractional positions:
Rb1 0.000 0.000 0.000
Rb2 0.478 0.248 0.722
La1 0.497 0.750 0.249
La2 0.652 0.829 0.473
Co1 0.241 0.123 0.361
Co2 0.908 0.456 0.361

=====

Entry 2:
VASP calculation (PBE-GGA) on a geometry-optimized RbLaCo structure.

Output
- M_tot: 0.00 Bohr magnetons per cell
- Energy above the lowest structure with this stoichiometry: 342 meV/atom
- Calculated volume: 36.09 Å³ per atom
- Energy of formation from the pure elements: 34.4 kJ per mole of atoms

Cell: 7.244 3.866 3.866 Å, 91.33 90.00 90.00°
Fractional positions:
Rb1 0.000 0.000 0.000
La1 0.500 0.554 0.554
Co1 0.500 0.118 0.118

=====

Entry 3:
VASP calculation (PBE-GGA) on a geometry-optimized Rb2LaCoTc structure.

Output
- M_tot: 0.07 Bohr magnetons per cell
- Calculated volume: 42.26 Å³ per atom
- Energy of formation from the pure elements: 180.2 kJ per mole of atoms

Cell: 6.933 6.933 4.396 Å, 90.00 90.00 90.00°
Fractional positions:
Rb1 0.000 0.500 0.000
Rb2 0.500 0.000 0.000
La1 0.000 0.000 0.000
Co1 0.000 0.000 0.500
Tc1 0.500 0.500 0.500

=====

Entry 4:
VASP calculation (PBE-GGA) on a geometry-optimized Rb2LaTlCo structure.

Output
- M_tot: 1.79 Bohr magnetons per cell
- Calculated volume: 42.46 Å³ per atom
- Energy of formation from the pure elements: 93.5 kJ per mole of atoms

Cell: 6.610 6.610 4.860 Å, 90.00 90.00 90.00°
Fractional positions:
Rb1 0.000 0.500 0.000
Rb2 0.500 0.000 0.000
La1 0.000 0.000 0.500
Tl1 0.500 0.500 0.000
Co1 0.500 0.500 0.500

=====

Entry 5:
VASP calculation (PBE-GGA) on a geometry-optimized La2CoRe structure.

Output
- M_tot: 1.91 Bohr magnetons per cell
- Energy above the lowest structure with this stoichiometry: 462 meV/atom
- Calculated volume: 20.67 Å³ per atom
- Energy of formation from the pure elements: 50.9 kJ per mole of atoms

Cell: 4.890 4.890 4.890 Å, 60.00 60.00 60.00°
Fractional positions:
La1 0.000 0.000 0.000
La2 0.250 0.250 0.250
Co1 0.500 0.500 0.500
Re1 0.750 0.750 0.750

=====

Entry 6:
VASP calculation (PBE-GGA) on a geometry-optimized LaCo2Re structure.

Output
- M_tot: 0.00 Bohr magnetons per cell
- Energy above the lowest structure with this stoichiometry: 317 meV/atom
- Calculated volume: 17.45 Å³ per atom
- Energy of formation from the pure elements: 31.8 kJ per mole of atoms

Cell: 3.277 4.135 5.307 Å, 90.00 103.88 90.00°
Fractional positions:
La1 0.000 0.000 0.000
Co1 0.392 0.500 0.776
Co2 0.416 0.000 0.499
Re1 0.753 0.500 0.444

=====

Entry 7:
VASP calculation (PBE-GGA) on a geometry-optimized La2CoRe structure.

Output
- M_tot: 1.39 Bohr magnetons per cell
- Energy above the lowest structure with this stoichiometry: 477 meV/atom
- Calculated volume: 21.68 Å³ per atom
- Energy of formation from the pure elements: 52.4 kJ per mole of atoms

Cell: 5.763 5.763 5.763 Å, 137.39 137.39 61.84°
Fractional positions:
La1 0.000 0.000 0.000
La2 0.750 0.250 0.500
Co1 0.500 0.500 0.000
Re1 0.250 0.750 0.500

=====

Entry 8:
VASP calculation (PBE-GGA) on a geometry-optimized LaCo2Re structure.

Output
- M_tot: 0.00 Bohr magnetons per cell
- Energy above the lowest structure with this stoichiometry: 224 meV/atom
- Calculated volume: 16.42 Å³ per atom
- Energy of formation from the pure elements: 22.8 kJ per mole of atoms

Cell: 2.852 3.254 7.075 Å, 90.00 90.00 90.00°
Fractional positions:
La1 0.000 0.000 0.000
Co1 0.500 0.500 0.318
Co2 0.500 0.500 0.682
Re1 0.000 0.000 0.500